# PBE-GGA Ac2MgPd6Pb3, relaxed
# * crystal system: tetragonal
# * theoretical density: 9.20 Mg/m³
# * formation enthalpy at 0 K: -0.3539 eV per atom
# * total magnetic moment: 0.000 μB per atom
# * DFT total energy: -56.3 eV per cell
data_Ac2MgPd6Pb3
_symmetry_space_group_name_H-M 'P 4/m m m'
_symmetry_Int_Tables_number 123
_symmetry_space_group_name_Hall '-P 4 2'
_cell_length_a 4.2609
_cell_length_b 4.2609
_cell_length_c 17.2752
_cell_angle_alpha 90.00
_cell_angle_beta 90.00
_cell_angle_gamma 90.00
loop_
_atom_site_label
_atom_site_fract_x
_atom_site_fract_y
_atom_site_fract_z
Ac1 0.0000 0.0000 0.1953
Mg1 0.0000 0.0000 0.5000
Pd1 0.0000 0.5000 0.4118
Pd2 0.5000 0.5000 0.1533
Pb1 0.5000 0.5000 0.0000
Pb2 0.5000 0.5000 0.3143

# PBE-GGA Ta2Nb2Sb, relaxed
# * crystal system: tetragonal
# * theoretical density: 11.11 Mg/m³
# * energy above the lowest structure with this stoichiometry: 0 meV per atom
# * total magnetic moment: 0.000 μB per atom
# * DFT total energy: -91.9 eV per cell
data_Ta2Nb2Sb
_symmetry_space_group_name_H-M 'P 4/m b m'
_symmetry_Int_Tables_number 127
_symmetry_space_group_name_Hall '-P 4 2ab'
_cell_length_a 7.5595
_cell_length_b 7.5595
_cell_length_c 3.5028
_cell_angle_alpha 90.00
_cell_angle_beta 90.00
_cell_angle_gamma 90.00
loop_
_atom_site_label
_atom_site_fract_x
_atom_site_fract_y
_atom_site_fract_z
Ta1 0.1165 0.3835 0.0000
Nb1 0.1903 0.6903 0.5000
Sb1 0.0000 0.0000 0.0000